1.
TcP2Se | GGA-PBE | optimized geometry

The space group is P2/m (No. 10) and the conventional cell measures 3.4287, 4.5906 and 4.2251 Å, with angles of 90.00, 99.98 and 90.00 degrees. The asymmetric unit holds Tc at (0.0000, 0.0000, 0.0000), P at (0.2108, 0.5000, 0.8271) and Se at (0.5000, 0.0000, 0.5000).

The spin magnetization is 0.0000 μB per atom. As for the density of states at the Fermi level: 2.4 states/eV/f.u. The uncorrected formation energy comes out at 0.14 eV/atom.



2.
Er3AsPb | GGA-PBE | optimized geometry

The space group is Pnma (No. 62) and the conventional cell measures 8.3929, 4.2946 and 15.0067 Å, with angles of 90.00, 90.00 and 90.00 degrees. The asymmetric unit holds Er at (0.0187, 0.2500, 0.1066), Er at (0.1541, 0.2500, 0.5297), Er at (0.1777, 0.7500, 0.2778), As at (0.1889, 0.2500, 0.9439) and Pb at (0.0960, 0.7500, 0.6834).

The spin magnetization is 0.0000 μB per atom. As for the density of states at the Fermi level: 4.2 states/eV/f.u. The calculation puts the formation energy at -0.812 eV per atom.



3.
Ac2La7Pm | GGA-PBE | optimized geometry

The space group is Cmmm (No. 65) and the conventional cell measures 12.5709, 17.7517 and 3.6433 Å, with angles of 90.00, 90.00 and 90.00 degrees. The asymmetric unit holds Ac at (0.0000, 0.1735, 0.0000), La at (0.0000, 0.3349, 0.5000), La at (0.0000, 0.5000, 0.0000), La at (0.2392, 0.3767, 0.0000) and Pm at (0.0000, 0.0000, 0.5000).

The spin magnetization is 0.0000 μB per atom. As for the density of states at the Fermi level: 18.7 states/eV/f.u. The relative energy among the computed polymorphs comes out at 241 meV/atom. The calculation puts the formation energy at 0.369 eV per atom.



4.
SrSi2Ni | GGA-PBE | optimized geometry

The space group is Immm (No. 71) and the conventional cell measures 2.9144, 5.6516 and 9.2855 Å, with angles of 90.00, 90.00 and 90.00 degrees. The asymmetric unit holds Sr at (0.0000, 0.0000, 0.0000), Si at (0.0000, 0.5000, 0.1976) and Ni at (0.0000, 0.0000, 0.5000).

The spin magnetization is 0.0000 μB per atom. As for the density of states at the Fermi level: 1.8 states/eV/f.u. The uncorrected formation energy comes out at 0.01 eV/atom.



5.
La3B2N4 | GGA-PBE | optimized geometry

The space group is Immm (No. 71) and the conventional cell measures 3.6372, 6.4208 and 11.0089 Å, with angles of 90.00, 90.00 and 90.00 degrees. The asymmetric unit holds La at (0.0000, 0.0000, 0.0000), La at (0.0000, 0.5000, 0.2008), B at (0.0000, 0.1420, 0.5000) and N at (0.0000, 0.2546, 0.3825).

The spin magnetization is 0.0000 μB per atom. As for the density of states at the Fermi level: 1.1 states/eV/f.u. The uncorrected formation energy comes out at -1.34 eV/atom. The relative energy among the computed polymorphs comes out at 0 meV/atom.



6.
Ag2Sn3I8 | GGA-PBE | optimized geometry

The space group is C2/m (No. 12) and the conventional cell measures 16.2512, 9.1876 and 7.9193 Å, with angles of 90.00, 108.26 and 90.00 degrees. The asymmetric unit holds Ag at (0.1000, 0.0000, 0.0619), Sn at (0.0000, 0.2497, 0.5000), Sn at (0.0000, 0.5000, 0.0000), I at (0.1201, 0.5000, 0.7444), I at (0.1233, 0.2601, 0.2516) and I at (0.1237, 0.0000, 0.7285).

The spin magnetization is 0.0000 μB per atom. As for the density of states at the Fermi level: 0.0 states/eV/f.u. The uncorrected formation energy comes out at -0.42 eV/atom.



7.
CsNa2CaCd | GGA-PBE | optimized geometry

The space group is P4/mmm (No. 123) and the conventional cell measures 6.2542, 6.2542 and 6.1712 Å, with angles of 90.00, 90.00 and 90.00 degrees. The asymmetric unit holds Cs at (0.0000, 0.0000, 0.0000), Na at (0.0000, 0.5000, 0.5000), Ca at (0.5000, 0.5000, 0.0000) and Cd at (0.5000, 0.5000, 0.5000).

The spin magnetization is 0.0000 μB per atom. As for the density of states at the Fermi level: 3.1 states/eV/f.u. The calculation puts the formation energy at 0.054 eV per atom.



8.
Pm2Ga5Au4 | GGA-PBE | optimized geometry

The space group is Fmmm (No. 69) and the conventional cell measures 5.4829, 9.2546 and 18.0597 Å, with angles of 90.00, 90.00 and 90.00 degrees. The asymmetric unit holds Pm at (0.0000, 0.0000, 0.1030), Ga at (0.0000, 0.0000, 0.5000), Ga at (0.2500, 0.2500, 0.0000), Ga at (0.2500, 0.2500, 0.2500) and Au at (0.0000, 0.1600, 0.3647).

The spin magnetization is 0.0000 μB per atom. As for the density of states at the Fermi level: 4.4 states/eV/f.u. The calculation puts the formation energy at -0.510 eV per atom.



9.
BaLiMg2Cd2 | GGA-PBE | optimized geometry

The space group is P-3m1 (No. 164) and the conventional cell measures 5.0217, 5.0217 and 7.8500 Å, with angles of 90.00, 90.00 and 120.00 degrees. The asymmetric unit holds Ba at (0.0000, 0.0000, 0.0000), Li at (0.0000, 0.0000, 0.5000), Mg at (0.3333, 0.6667, 0.6580) and Cd at (0.3333, 0.6667, 0.2873).

The spin magnetization is 0.0000 μB per atom. As for the density of states at the Fermi level: 3.7 states/eV/f.u. The calculation puts the formation energy at -0.182 eV per atom.



10.
BaIn2Fe | GGA-PBE | optimized geometry

The space group is P4mm (No. 99) and the conventional cell measures 3.7225, 3.7225 and 8.0283 Å, with angles of 90.00, 90.00 and 90.00 degrees. The asymmetric unit holds Ba at (0.0000, 0.0000, 0.0000), In at (0.0000, 0.0000, 0.4233), In at (0.5000, 0.5000, 0.6764) and Fe at (0.5000, 0.5000, 0.3343).

The spin magnetization is 0.6337 μB per atom. As for the density of states at the Fermi level: 4.4 states/eV/f.u. The calculation puts the formation energy at 0.205 eV per atom.



11.
SrSbOs2 | GGA-PBE | optimized geometry

The space group is R3m (No. 160, hexagonal axes) and the conventional cell measures 4.3619, 4.3619 and 17.6874 Å, with angles of 90.00, 90.00 and 120.00 degrees. The asymmetric unit holds Sr at (0.0000, 0.0000, 0.0000), Sb at (0.0000, 0.0000, 0.2023), Os at (0.0000, 0.0000, 0.4634) and Os at (0.0000, 0.0000, 0.7936).

The spin magnetization is 0.0000 μB per atom. As for the density of states at the Fermi level: 3.1 states/eV/f.u. The uncorrected formation energy comes out at 0.05 eV/atom.



12.
LiCeAg | GGA-PBE | optimized geometry

The space group is P3m1 (No. 156) and the conventional cell measures 4.9473, 4.9473 and 3.1380 Å, with angles of 90.00, 90.00 and 120.00 degrees. The asymmetric unit holds Li at (0.0000, 0.0000, 0.0000), Ce at (0.3333, 0.6667, 0.5014) and Ag at (0.6667, 0.3333, 0.0020).

The spin magnetization is 0.4817 μB per atom. As for the density of states at the Fermi level: 6.4 states/eV/f.u. The relative energy among the computed polymorphs comes out at 40 meV/atom. The calculation puts the formation energy at -0.007 eV per atom.